Version A
An optimized crystal structure of MnP2Au, computed with GGA-PBEsol.

Unit cell a=2.768 b=2.768 c=7.375 alpha=90.00 beta=90.00 gamma=90.00
Each line ends with the local moment (μB).
Atoms (fractional coordinates):
P (0.000, 0.000, 0.949)  -0.07
P (0.500, 0.500, 0.243)  -0.01
Mn (0.500, 0.500, 0.789)  1.62
Au (0.000, 0.000, 0.520)  0.07


Version B
An optimized crystal structure of MnP2Au, computed with GGA-PBEsol.

Unit cell a=2.840 b=4.544 c=4.544 alpha=90.00 beta=90.00 gamma=90.00
Each line ends with the local moment (μB).
Atoms (fractional coordinates):
P (0.000, 0.000, 0.500)  -0.02
P (0.000, 0.500, 0.000)  -0.02
Au (0.500, 0.500, 0.500)  0.00
Mn (0.500, 0.000, 0.000)  3.33


Preferred: version A; penalty for the next structure: 5.2 kJ/mol of atoms.


Version A
An optimized crystal structure of MnPb2Au, computed with GGA-PBEsol.

Unit cell a=3.530 b=3.671 c=6.698 alpha=90.00 beta=90.00 gamma=90.00
Each line ends with the local moment (μB).
Atoms (fractional coordinates):
Pb (0.000, 0.000, 0.253)  -0.03
Pb (0.000, 0.000, 0.747)  -0.03
Au (0.500, 0.500, 0.000)  -0.03
Mn (0.500, 0.500, 0.500)  3.74


Version B
An optimized crystal structure of MnPb2Au, computed with GGA-PBEsol.

Unit cell a=3.411 b=5.036 c=5.036 alpha=90.00 beta=90.00 gamma=90.00
Each line ends with the local moment (μB).
Atoms (fractional coordinates):
Mn (0.500, 0.000, 0.000)  3.79
Au (0.500, 0.500, 0.500)  0.01
Pb (0.000, 0.000, 0.500)  -0.04
Pb (0.000, 0.500, 0.000)  -0.04


Preferred: version B; penalty for the next structure: 6.0 kJ/mol of atoms.